# SrBeNi2

Crystalline SrBeNi2 at its relaxed geometry (PBE, Alexandria).

Density of states at the Fermi level in states/eV/f.u.: 1.82
E in eV/atom: -3.839
ΔH_f (0 K) in kJ/mol of atoms: 39
Energy above the lowest structure with this stoichiometry in meV per atom: 546.6

a b c (Å): 5.265 5.265 5.265
angles (deg): 146.01 127.62 63.93
Fractional coordinates of all 4 atoms:
1 Ni 0.783 0.283 0.500
2 Sr 0.492 0.492 0.000
3 Be 0.199 0.699 0.500
4 Ni 0.026 0.026 0.000